# TlCuF2 | Alexandria via LeMat-Bulk | PBE-GGA | optimized geometry
# Formation energy without anion corrections: -1429 meV/atom
data_TlCuF2
_space_group_name_H-M_alt 'P n m a'
_space_group_IT_number 62
_cell_length_a 6.754
_cell_length_b 3.897
_cell_length_c 11.711
_cell_angle_alpha 90.00
_cell_angle_beta 90.00
_cell_angle_gamma 90.00
loop_
_space_group_symop_operation_xyz
'x,y,z'
'-x,-y,-z'
'-x+1/2,-y,z+1/2'
'x+1/2,y,-z+1/2'
'x+1/2,-y+1/2,-z+1/2'
'-x+1/2,y+1/2,z+1/2'
'-x,y+1/2,-z'
'x,-y+1/2,z'
loop_
_atom_site_label
_atom_site_fract_x
_atom_site_fract_y
_atom_site_fract_z
Tl1 0.029 0.250 0.162
Cu1 0.049 0.750 0.420
F1 0.186 0.250 0.958
F2 0.188 0.250 0.656

---

# TlCuF | Alexandria via LeMat-Bulk | PBE-GGA | optimized geometry
# Formation energy without anion corrections: -633 meV/atom
data_TlCuF
_space_group_name_H-M_alt 'P 4/n m m'
_space_group_IT_number 129
_cell_length_a 4.577
_cell_length_b 4.577
_cell_length_c 5.586
_cell_angle_alpha 90.00
_cell_angle_beta 90.00
_cell_angle_gamma 90.00
loop_
_space_group_symop_operation_xyz
'x,y,z'
'-x,-y,-z'
'-y+1/2,x,z'
'y+1/2,-x,-z'
'-x+1/2,-y+1/2,z'
'x+1/2,y+1/2,-z'
'y,-x+1/2,z'
'-y,x+1/2,-z'
'x+1/2,-y,-z'
'-x+1/2,y,z'
'-y,-x,-z'
'y,x,z'
'-x,y+1/2,-z'
'x,-y+1/2,z'
'y+1/2,x+1/2,-z'
'-y+1/2,-x+1/2,z'
loop_
_atom_site_label
_atom_site_fract_x
_atom_site_fract_y
_atom_site_fract_z
Tl1 0.250 0.750 0.000
Cu1 0.250 0.250 0.299
F1 0.250 0.250 0.636